No. 1
Here is a relaxed Pm2GaPd6 crystal from Alexandria via LeMat-Bulk. Energies are from PBE.

a = 5.7595 Å, b = 5.7279 Å, c = 6.1247 Å
α = 77.83°, β = 90.00°, γ = 120.18°
Last column: nearest neighbours and their distance in Å.
Fractional positions:
1 Ga 0.0000 0.0000 0.0000  6 Pd 2.48-2.53
2 Pd 0.8720 0.2638 0.6861  1 Ga 2.53, 3 Pd 2.77-2.79
3 Pd 0.3918 0.2638 0.6861  1 Ga 2.53, 3 Pd 2.77-2.79
4 Pd 0.1248 0.2496 0.3049  1 Ga 2.48
5 Pd 0.6082 0.7362 0.3139  1 Ga 2.53, 3 Pd 2.77-2.79
6 Pd 0.8752 0.7504 0.6951  1 Ga 2.48
7 Pd 0.1280 0.7362 0.3139  1 Ga 2.53, 3 Pd 2.77-2.79
8 Pm 0.3571 0.7143 0.8361  9 Pd 2.99-3.26
9 Pm 0.6429 0.2857 0.1639  9 Pd 2.99-3.26

Output
Excess energy over the best structure of this formula in the dataset (kJ per mole of atoms): 0.00
DOS at the Fermi energy (states/eV per atom): 0.344
Formation energy (meV per atom): -791
Calculated density (Mg/m³): 9.8

No. 2
Here is a relaxed PmGa5Pd2 crystal from Alexandria via LeMat-Bulk. Energies are from PBE.

a = 4.0615 Å, b = 6.5271 Å, c = 6.5271 Å
α = 66.98°, β = 71.87°, γ = 71.87°
Last column: nearest neighbours and their distance in Å.
Fractional positions:
1 Ga 0.6397 0.5534 0.1673  3 Pd 2.50-2.68, 1 Ga 2.78
2 Ga 0.6397 0.1673 0.5534  3 Pd 2.50-2.68, 1 Ga 2.78
3 Ga 0.0000 0.5000 0.5000  2 Pd 2.47
4 Ga 0.3603 0.4466 0.8327  3 Pd 2.50-2.68, 1 Ga 2.78
5 Ga 0.3603 0.8327 0.4466  3 Pd 2.50-2.68, 1 Ga 2.78
6 Pm 0.0000 0.0000 0.0000  4 Pd 3.29, 10 Ga 3.32-3.60
7 Pd 0.7559 0.7441 0.7441  7 Ga 2.47-2.68
8 Pd 0.2441 0.2559 0.2559  7 Ga 2.47-2.68

Output
DOS at the Fermi energy (states/eV per atom): 0.376
Formation energy (meV per atom): -567
Calculated density (Mg/m³): 7.9